# 1
DFT (PBE) results for a relaxed PmDyTeAs crystal.

Properties
**DOS at the Fermi energy**: 2.68 states/eV/cell
**Volume**: 28.32 A^3/atom
**Uncorrected formation energy**: -1.47 eV/atom
**DFT total energy**: -5.758 eV per atom

Cell and atoms, written as CIF:
```
data_PmDyTeAs
_cell_length_a 7.822
_cell_length_b 7.822
_cell_length_c 7.822
_cell_angle_alpha 31.10
_cell_angle_beta 31.10
_cell_angle_gamma 31.10
_space_group_name_H-M_alt 'P 1'
_space_group_IT_number 1
loop_
_space_group_symop_operation_xyz
'x,y,z'
loop_
_atom_site_label
_atom_site_type_symbol
_atom_site_fract_x
_atom_site_fract_y
_atom_site_fract_z
_atom_site_occupancy
Pm1 Pm 0.000 0.000 0.000 1
Dy1 Dy 0.189 0.189 0.189 1
Te1 Te 0.430 0.430 0.430 1
As1 As 0.594 0.594 0.594 1
```

=====

# 2
DFT (PBE) results for a relaxed Mg2InCu crystal.

Properties
**DOS at the Fermi energy**: 3.61 states/eV/cell
**Calculated formation energy**: 73 kJ/mol of formula units
**Volume**: 21.67 A^3/atom
**DFT total energy**: -2.316 eV per atom

Cell and atoms, written as CIF:
```
data_Mg2InCu
_cell_length_a 10.274
_cell_length_b 10.274
_cell_length_c 10.274
_cell_angle_alpha 156.42
_cell_angle_beta 156.42
_cell_angle_gamma 33.59
_space_group_name_H-M_alt 'P 1'
_space_group_IT_number 1
loop_
_space_group_symop_operation_xyz
'x,y,z'
loop_
_atom_site_label
_atom_site_type_symbol
_atom_site_fract_x
_atom_site_fract_y
_atom_site_fract_z
_atom_site_occupancy
Mg1 Mg 0.111 0.625 0.986 1
Mg2 Mg 0.375 0.361 0.486 1
Mg3 Mg 0.639 0.125 0.014 1
Mg4 Mg 0.875 0.889 0.514 1
In1 In 0.250 0.750 0.500 1
In2 In 0.500 0.500 0.000 1
Cu1 Cu 0.000 0.000 0.000 1
Cu2 Cu 0.750 0.250 0.500 1
```

=====

# 3
DFT (PBE) results for a relaxed YMg2TeS crystal.

Properties
**DOS at the Fermi energy**: 4.14 states/eV/cell
**Volume**: 37.41 A^3/atom
**Uncorrected formation energy**: 0.16 eV/atom
**DFT total energy**: -3.226 eV per atom

Cell and atoms, written as CIF:
```
data_YMg2TeS
_cell_length_a 6.166
_cell_length_b 6.166
_cell_length_c 4.921
_cell_angle_alpha 90.00
_cell_angle_beta 90.00
_cell_angle_gamma 90.00
_space_group_name_H-M_alt 'P 1'
_space_group_IT_number 1
loop_
_space_group_symop_operation_xyz
'x,y,z'
loop_
_atom_site_label
_atom_site_type_symbol
_atom_site_fract_x
_atom_site_fract_y
_atom_site_fract_z
_atom_site_occupancy
Y1 Y 0.000 0.000 0.000 1
Mg1 Mg 0.000 0.500 0.000 1
Mg2 Mg 0.500 0.000 0.000 1
Te1 Te 0.500 0.500 0.500 1
S1 S 0.000 0.000 0.500 1
```

=====

What is the DFT total energy in the third record? -3.226 eV per atom